Material: La2SnBr
Method: DFT, GGA-PBE
State: optimized geometry

Values from the calculation:
The space-group type is P4/nmm. The total energy is -4.891 eV/atom. For the distance to the lowest polymorph of the same formula, the calculation gives 98 meV/atom. The formation energy (no corrections) comes out at -4.0 eV per formula unit. As for the magnetization: 3.34 μB per cell.

Lattice parameters (Å, degrees): 4.828 4.826 21.985 90.00 90.00 90.00
Each line ends with the local moment (μB).
Sites, in units of the cell vectors:
1 La 0.250 0.250 0.000  0.21
2 La 0.750 0.750 0.500  0.21
3 La 0.250 0.750 0.843  0.11
4 La 0.750 0.750 0.000  0.21
5 La 0.750 0.250 0.157  0.11
6 La 0.750 0.250 0.657  0.11
7 La 0.250 0.750 0.343  0.11
8 La 0.250 0.250 0.500  0.21
9 Sn 0.250 0.750 0.603  0.00
10 Sn 0.750 0.250 0.897  0.00
11 Sn 0.250 0.750 0.103  0.00
12 Sn 0.750 0.250 0.397  0.00
13 Br 0.250 0.250 0.250  0.00
14 Br 0.750 0.750 0.750  0.00
15 Br 0.750 0.750 0.250  0.00
16 Br 0.250 0.250 0.750  0.00